*w*
First-principles (PBE-GGA) data for CaLaSe2 after structural relaxation, as listed in Alexandria.

a = 4.158 Å, b = 4.158 Å, c = 7.836 Å
α = 74.61°, β = 74.61°, γ = 60.00°
Fractional coordinates of all 4 atoms:
Se  0.086  0.086  0.743
La  0.669  0.669  0.993
Ca  0.496  0.496  0.512
Se  0.249  0.249  0.253

Calculated values
Density of states at the Fermi level: 0.601 states/eV per atom

---

*x*
First-principles (PBE-GGA) data for CaLaSe2 after structural relaxation, as listed in Alexandria.

a = 9.134 Å, b = 9.134 Å, c = 9.134 Å
α = 28.31°, β = 28.31°, γ = 28.31°
Fractional coordinates of all 4 atoms:
Ca  0.000  0.000  0.000
Se  0.893  0.893  0.893
Se  0.107  0.107  0.107
La  0.500  0.500  0.500

Calculated values
Density of states at the Fermi level: 0.297 states/eV per atom

---

*y*
First-principles (PBE-GGA) data for CaLaSe2 after structural relaxation, as listed in Alexandria.

a = 5.194 Å, b = 5.194 Å, c = 5.194 Å
α = 60.00°, β = 60.00°, γ = 60.00°
Fractional coordinates of all 4 atoms:
Ca  0.500  0.500  0.500
La  0.750  0.750  0.750
Se  0.250  0.250  0.250
Se  0.000  0.000  0.000

Calculated values
Density of states at the Fermi level: 0.973 states/eV per atom

---

Which one is most stable, and which one is least stable? *w* is the most stable of them, while *y* is the least stable.

---

*w*
First-principles (PBE-GGA) data for CaLaSe2 after structural relaxation, as listed in Alexandria.

a = 4.201 Å, b = 4.201 Å, c = 14.497 Å
α = 90.00°, β = 90.00°, γ = 120.00°
Fractional coordinates of all 8 atoms:
Se  0.333  0.667  0.373
La  0.000  0.000  0.500
Se  0.667  0.333  0.627
Ca  0.667  0.333  0.250
Se  0.667  0.333  0.873
Se  0.333  0.667  0.127
Ca  0.333  0.667  0.750
La  0.000  0.000  0.000

Calculated values
Density of states at the Fermi level: 0.362 states/eV per atom

---

*x*
First-principles (PBE-GGA) data for CaLaSe2 after structural relaxation, as listed in Alexandria.

a = 6.468 Å, b = 6.468 Å, c = 4.411 Å
α = 89.99°, β = 89.99°, γ = 36.54°
Fractional coordinates of all 4 atoms:
Se  0.007  0.007  0.875
Ca  0.488  0.488  0.375
La  0.750  0.750  0.875
Se  0.255  0.255  0.375

Calculated values
Density of states at the Fermi level: 0.387 states/eV per atom

---

Which one is most stable, and which one is least stable? *w* is the most stable of them, while *x* is the least stable.